A relaxed structure of HfVZnAu2. Source: the Alexandria database, functional PBE.

Unit cell a=5.1012 b=5.1012 c=5.0630 alpha=90.00 beta=90.00 gamma=90.00
Element x y z (fractional)
Hf1 0.0000 0.0000 0.0000
V1 0.5000 0.5000 0.5000
Zn1 0.0000 0.0000 0.5000
Au1 0.0000 0.5000 0.0000
Au2 0.5000 0.0000 0.0000

Summary:
formation enthalpy at 0 K: 1291 meV per atom
D(E_F): 1.772 states/eV per atom
total DFT energy (no corrections): -4.09 eV/atom
volume: 131.7 Å³ per cell

A relaxed structure of Tb2Sm5Sb5. Source: the Alexandria database, functional PBE.

Unit cell a=7.5650 b=7.5650 c=12.7858 alpha=108.70 beta=108.70 gamma=33.93
Element x y z (fractional)
Tb1 0.0440 0.0440 0.2869
Tb2 0.9560 0.9560 0.7131
Sm1 0.2742 0.2742 0.1542
Sm2 0.3401 0.3401 0.4618
Sm3 0.5000 0.5000 0.0000
Sm4 0.6599 0.6599 0.5382
Sm5 0.7258 0.7258 0.8458
Sb1 0.0000 0.0000 0.5000
Sb2 0.1180 0.1180 0.9284
Sb3 0.3079 0.3079 0.7091
Sb4 0.6921 0.6921 0.2909
Sb5 0.8820 0.8820 0.0716

Summary:
D(E_F): 0.712 states/eV per atom
total DFT energy (no corrections): -5.35 eV/atom
volume: 384.8 Å³ per cell

A relaxed structure of CaAcYMg. Source: the Alexandria database, functional PBE.

Unit cell a=5.8115 b=5.8115 c=5.8115 alpha=60.00 beta=60.00 gamma=60.00
Element x y z (fractional)
Ca1 0.0000 0.0000 0.0000
Ac1 0.2500 0.2500 0.2500
Y1 0.7500 0.7500 0.7500
Mg1 0.5000 0.5000 0.5000

Summary:
formation enthalpy at 0 K: 56 meV per atom
D(E_F): 1.229 states/eV per atom
energy relative to the lowest polymorph listed for this composition: 67 meV/atom
total DFT energy (no corrections): -3.49 eV/atom
volume: 138.8 Å³ per cell

A relaxed structure of AlAgPdPt. Source: the Alexandria database, functional PBE.

Unit cell a=2.9277 b=2.9277 c=7.2567 alpha=90.00 beta=90.00 gamma=90.00
Element x y z (fractional)
Al1 0.0000 0.0000 0.0000
Ag1 0.0000 0.0000 0.4987
Pd1 0.5000 0.5000 0.2169
Pt1 0.5000 0.5000 0.7870

Summary:
formation enthalpy at 0 K: -627 meV per atom
D(E_F): 0.274 states/eV per atom
energy relative to the lowest polymorph listed for this composition: 0 meV/atom
total DFT energy (no corrections): -5.08 eV/atom
volume: 62.2 Å³ per cell

A relaxed structure of ZnHg2Mo. Source: the Alexandria database, functional PBE.

Unit cell a=2.9544 b=4.2210 c=5.9259 alpha=90.00 beta=90.00 gamma=90.00
Element x y z (fractional)
Zn1 0.0000 0.0000 0.0000
Hg1 0.5000 0.5000 0.2516
Hg2 0.5000 0.5000 0.7484
Mo1 0.0000 0.0000 0.5000

Summary:
formation enthalpy at 0 K: 532 meV per atom
D(E_F): 0.720 states/eV per atom
total DFT energy (no corrections): -2.65 eV/atom
volume: 73.9 Å³ per cell

A relaxed structure of Ho2PuCu9. Source: the Alexandria database, functional PBE.

Unit cell a=8.7302 b=8.7302 c=8.7302 alpha=34.64 beta=34.64 gamma=34.64
Element x y z (fractional)
Ho1 0.1420 0.1420 0.1420
Ho2 0.8580 0.8580 0.8580
Pu1 0.0000 0.0000 0.0000
Cu1 0.0825 0.5824 0.5824
Cu2 0.3325 0.3325 0.3325
Cu3 0.4176 0.4176 0.9175
Cu4 0.4176 0.9175 0.4176
Cu5 0.5000 0.5000 0.5000
Cu6 0.5824 0.0825 0.5824
Cu7 0.5824 0.5824 0.0825
Cu8 0.6675 0.6675 0.6675
Cu9 0.9175 0.4176 0.4176

Summary:
formation enthalpy at 0 K: -121 meV per atom
D(E_F): 1.431 states/eV per atom
total DFT energy (no corrections): -5.15 eV/atom
volume: 191.8 Å³ per cell

A relaxed structure of Zn2CrTc. Source: the Alexandria database, functional PBE.

Unit cell a=5.4467 b=5.4467 c=5.4467 alpha=102.07 beta=102.07 gamma=125.58
Element x y z (fractional)
Zn1 0.1160 0.6250 0.9910
Zn2 0.3750 0.3660 0.4910
Zn3 0.6340 0.1250 0.0090
Zn4 0.8750 0.8840 0.5090
Cr1 0.0000 0.0000 0.0000
Cr2 0.7500 0.2500 0.5000
Tc1 0.2500 0.7500 0.5000
Tc2 0.5000 0.5000 0.0000

Summary:
formation enthalpy at 0 K: 688 meV per atom
D(E_F): 1.180 states/eV per atom
energy relative to the lowest polymorph listed for this composition: 648 meV/atom
total DFT energy (no corrections): -4.95 eV/atom
volume: 116.9 Å³ per cell

A relaxed structure of CsLi3Al. Source: the Alexandria database, functional PBE.

Unit cell a=5.3182 b=5.3182 c=5.3182 alpha=90.00 beta=90.00 gamma=90.00
Element x y z (fractional)
Cs1 0.0000 0.0000 0.0000
Li1 0.0000 0.0000 0.5000
Li2 0.0000 0.5000 0.0000
Li3 0.5000 0.0000 0.0000
Al1 0.5000 0.5000 0.5000

Summary:
formation enthalpy at 0 K: 1016 meV per atom
D(E_F): 0.751 states/eV per atom
energy relative to the lowest polymorph listed for this composition: 848 meV/atom
total DFT energy (no corrections): -1.05 eV/atom
volume: 150.4 Å³ per cell

A relaxed structure of Sr4Sn12Pd. Source: the Alexandria database, functional PBE.

Unit cell a=8.5508 b=8.5508 c=8.5508 alpha=109.47 beta=109.47 gamma=109.47
Element x y z (fractional)
Sr1 0.0000 0.0000 0.5000
Sr2 0.0000 0.5000 0.0000
Sr3 0.5000 0.0000 0.0000
Sr4 0.5000 0.5000 0.5000
Sn1 0.0000 0.2859 0.2859
Sn2 0.0000 0.7141 0.7141
Sn3 0.2500 0.5000 0.7500
Sn4 0.2500 0.7500 0.5000
Sn5 0.2859 0.0000 0.2859
Sn6 0.2859 0.2859 0.0000
Sn7 0.5000 0.2500 0.7500
Sn8 0.5000 0.7500 0.2500
Sn9 0.7141 0.0000 0.7141
Sn10 0.7141 0.7141 0.0000
Sn11 0.7500 0.2500 0.5000
Sn12 0.7500 0.5000 0.2500
Pd1 0.0000 0.0000 0.0000

Summary:
formation enthalpy at 0 K: -411 meV per atom
D(E_F): 0.771 states/eV per atom
total DFT energy (no corrections): -3.94 eV/atom
volume: 481.3 Å³ per cell

A relaxed structure of SrLaAg3. Source: the Alexandria database, functional PBE.

Unit cell a=5.6475 b=5.6475 c=5.6475 alpha=90.00 beta=90.00 gamma=90.00
Element x y z (fractional)
Sr1 0.0000 0.0000 0.0000
La1 0.5000 0.5000 0.5000
Ag1 0.0000 0.5000 0.5000
Ag2 0.5000 0.0000 0.5000
Ag3 0.5000 0.5000 0.0000

Summary:
formation enthalpy at 0 K: 298 meV per atom
D(E_F): 0.514 states/eV per atom
energy relative to the lowest polymorph listed for this composition: 561 meV/atom
total DFT energy (no corrections): -2.74 eV/atom
volume: 180.1 Å³ per cell

A relaxed structure of BeAl2Cu. Source: the Alexandria database, functional PBE.

Unit cell a=8.1612 b=8.1612 c=8.1612 alpha=19.52 beta=19.52 gamma=19.52
Element x y z (fractional)
Be1 0.0000 0.0000 0.0000
Al1 0.5111 0.5111 0.5111
Al2 0.7469 0.7469 0.7469
Cu1 0.2618 0.2618 0.2618

Summary:
formation enthalpy at 0 K: 54 meV per atom
D(E_F): 0.533 states/eV per atom
total DFT energy (no corrections): -3.77 eV/atom
volume: 53.1 Å³ per cell

A relaxed structure of CaPm6Nd2Sm3. Source: the Alexandria database, functional PBE.

Unit cell a=6.3531 b=6.3531 c=12.1298 alpha=95.00 beta=95.00 gamma=120.02
Element x y z (fractional)
Ca1 0.0000 0.0000 0.0000
Pm1 0.0852 0.4237 0.2535
Pm2 0.2528 0.2528 0.7458
Pm3 0.4237 0.0852 0.2535
Pm4 0.5763 0.9148 0.7465
Pm5 0.7472 0.7472 0.2542
Pm6 0.9148 0.5763 0.7465
Nd1 0.3329 0.6671 0.0000
Nd2 0.6671 0.3329 0.0000
Sm1 0.1659 0.8341 0.5000
Sm2 0.5000 0.5000 0.5000
Sm3 0.8341 0.1659 0.5000

Summary:
formation enthalpy at 0 K: 30 meV per atom
D(E_F): 1.391 states/eV per atom
total DFT energy (no corrections): -4.49 eV/atom
volume: 417.4 Å³ per cell

A relaxed structure of Tb2Y8In. Source: the Alexandria database, functional PBE.

Unit cell a=9.8477 b=9.8477 c=5.7192 alpha=92.40 beta=92.40 gamma=40.50
Element x y z (fractional)
Tb1 0.2200 0.2200 0.2610
Tb2 0.7800 0.7800 0.7390
Y1 0.0506 0.0506 0.2303
Y2 0.1146 0.6362 0.2578
Y3 0.3258 0.3258 0.7714
Y4 0.3638 0.8854 0.7422
Y5 0.6362 0.1146 0.2578
Y6 0.6742 0.6742 0.2286
Y7 0.8854 0.3638 0.7422
Y8 0.9494 0.9494 0.7697
In1 0.5000 0.5000 0.0000

Summary:
formation enthalpy at 0 K: 59 meV per atom
D(E_F): 1.557 states/eV per atom
energy relative to the lowest polymorph listed for this composition: 123 meV/atom
total DFT energy (no corrections): -5.73 eV/atom
volume: 359.8 Å³ per cell

A relaxed structure of KPtSe2N. Source: the Alexandria database, functional PBE.

Unit cell a=5.5364 b=5.5364 c=3.6858 alpha=90.00 beta=90.00 gamma=90.00
Element x y z (fractional)
K1 0.0000 0.0000 0.0000
Pt1 0.5000 0.5000 0.5000
Se1 0.0000 0.5000 0.5000
Se2 0.5000 0.0000 0.5000
N1 0.5000 0.5000 0.0000

Summary:
D(E_F): 1.135 states/eV per atom
energy relative to the lowest polymorph listed for this composition: 0 meV/atom
total DFT energy (no corrections): -4.35 eV/atom
volume: 113.0 Å³ per cell

A relaxed structure of CaYPd. Source: the Alexandria database, functional PBE.

Unit cell a=6.9187 b=6.9187 c=6.9187 alpha=150.07 beta=150.07 gamma=42.83
Element x y z (fractional)
Ca1 0.0000 0.0000 0.0000
Y1 0.2640 0.2640 0.0000
Pd1 0.6478 0.6478 0.0000

Summary:
formation enthalpy at 0 K: -519 meV per atom
D(E_F): 0.794 states/eV per atom
energy relative to the lowest polymorph listed for this composition: 10 meV/atom
total DFT energy (no corrections): -5.07 eV/atom
volume: 82.2 Å³ per cell

A relaxed structure of Si2SnRhN. Source: the Alexandria database, functional PBE.

Unit cell a=4.6168 b=4.6168 c=6.6809 alpha=103.55 beta=103.55 gamma=36.87
Element x y z (fractional)
Si1 0.0000 0.0000 0.0000
Si2 0.1269 0.1269 0.7185
Sn1 0.8243 0.8243 0.4132
Rh1 0.2960 0.2960 0.0629
N1 0.6486 0.6486 0.5850

Summary:
D(E_F): 0.151 states/eV per atom
energy relative to the lowest polymorph listed for this composition: 137 meV/atom
total DFT energy (no corrections): -6.34 eV/atom
volume: 82.8 Å³ per cell

A relaxed structure of Th2ScSb2Te2. Source: the Alexandria database, functional PBE.

Unit cell a=8.7682 b=8.7682 c=8.7682 alpha=143.90 beta=143.90 gamma=51.98
Element x y z (fractional)
Th1 0.1154 0.1154 0.0000
Th2 0.8846 0.8846 0.0000
Sc1 0.5000 0.5000 0.0000
Sb1 0.0000 0.5000 0.5000
Sb2 0.5000 0.0000 0.5000
Te1 0.3133 0.3133 0.0000
Te2 0.6867 0.6867 0.0000

Summary:
D(E_F): 0.416 states/eV per atom
total DFT energy (no corrections): -5.78 eV/atom
volume: 232.7 Å³ per cell

A relaxed structure of PaBr2Cl. Source: the Alexandria database, functional PBE.

Unit cell a=6.8727 b=6.8727 c=6.8727 alpha=148.76 beta=71.35 gamma=117.69
Element x y z (fractional)
Pa1 0.0000 0.0000 0.0000
Br1 0.0050 0.3336 0.6714
Br2 0.6622 0.3336 0.3286
Cl1 0.2878 0.7878 0.5000

Summary:
D(E_F): 1.057 states/eV per atom
energy relative to the lowest polymorph listed for this composition: 0 meV/atom
total DFT energy (no corrections): -5.11 eV/atom
volume: 146.9 Å³ per cell

A relaxed structure of TbPmPuSn. Source: the Alexandria database, functional PBE.

Unit cell a=5.4597 b=5.4597 c=5.4597 alpha=60.00 beta=60.00 gamma=60.00
Element x y z (fractional)
Tb1 0.0000 0.0000 0.0000
Pm1 0.7500 0.7500 0.7500
Pu1 0.2500 0.2500 0.2500
Sn1 0.5000 0.5000 0.5000

Summary:
formation enthalpy at 0 K: -121 meV per atom
D(E_F): 2.919 states/eV per atom
total DFT energy (no corrections): -7.05 eV/atom
volume: 115.1 Å³ per cell

A relaxed structure of LiIn2Mo. Source: the Alexandria database, functional PBE.

Unit cell a=4.7763 b=4.7763 c=4.7763 alpha=60.00 beta=60.00 gamma=60.00
Element x y z (fractional)
Li1 0.0000 0.0000 0.0000
In1 0.2500 0.2500 0.2500
In2 0.5000 0.5000 0.5000
Mo1 0.7500 0.7500 0.7500

Summary:
formation enthalpy at 0 K: 493 meV per atom
D(E_F): 0.558 states/eV per atom
energy relative to the lowest polymorph listed for this composition: 401 meV/atom
total DFT energy (no corrections): -4.06 eV/atom
volume: 77.0 Å³ per cell